This record from the Alexandria database describes TbTm3Ir after structural relaxation. The functional is GGA-PBE.

Cell and atoms, written as POSCAR:
```
TbTm3Ir
1.0
-3.0640 6.1070 2.4189
-5.2619 -4.7782 -1.4197
4.4074 -3.0927 4.7667
Tm Ir Tb
6 2 2
Cartesian
-2.3247 -5.6968 2.3625
-3.8406 1.7305 1.7682
-1.5938 3.9329 3.4033
-1.7976 -1.6526 1.3766
-0.0779 -3.4944 3.9977
-2.1209 -0.1113 4.3893
0.2758 -0.8940 3.4873
-4.1943 -0.8699 2.2785
-4.8340 -3.5106 0.4606
0.9154 1.7467 5.3053
```

Computed properties:
- Energy relative to the elements: -2.1 eV per formula unit
- Space-group type: C2/m
- Crystal system: monoclinic
- Total energy: -5.799 eV per atom
- Mass density: 9.88 g/cm³
- Offset from the most stable computed form: 0.000 eV per atom